No. 1
VASP calculation (PBE) on NbZn after structural relaxation.

Values from the calculation:
volume: 16.3 A^3/atom
formation enthalpy at 0 K: -0.01 eV/f.u.

The structure in CIF format:
```
data_NbZn
_cell_length_a 7.4707
_cell_length_b 7.4707
_cell_length_c 7.4707
_cell_angle_alpha 145.89
_cell_angle_beta 145.89
_cell_angle_gamma 49.01
_symmetry_space_group_name_H-M 'P 1'
_symmetry_Int_Tables_number 1
loop_
_symmetry_equiv_pos_as_xyz
'x,y,z'
loop_
_atom_site_label
_atom_site_fract_x
_atom_site_fract_y
_atom_site_fract_z
Nb1 0.0000 0.5000 0.5000
Nb2 0.1249 0.1249 0.0000
Nb3 0.5000 0.0000 0.5000
Nb4 0.8751 0.8751 0.0000
Zn1 0.2500 0.7500 0.5000
Zn2 0.3617 0.3617 0.0000
Zn3 0.6383 0.6383 0.0000
Zn4 0.7500 0.2500 0.5000
```

=====

No. 2
VASP calculation (PBE) on NbZn2 after structural relaxation.

Values from the calculation:
volume: 16.1 A^3/atom
formation enthalpy at 0 K: 0.37 eV/f.u.

The structure in CIF format:
```
data_NbZn2
_cell_length_a 4.5276
_cell_length_b 8.7935
_cell_length_c 4.8516
_cell_angle_alpha 90.00
_cell_angle_beta 90.00
_cell_angle_gamma 90.00
_symmetry_space_group_name_H-M 'P 1'
_symmetry_Int_Tables_number 1
loop_
_symmetry_equiv_pos_as_xyz
'x,y,z'
loop_
_atom_site_label
_atom_site_fract_x
_atom_site_fract_y
_atom_site_fract_z
Nb1 0.2500 0.0867 0.0359
Nb2 0.2500 0.4133 0.0359
Nb3 0.7500 0.5867 0.9641
Nb4 0.7500 0.9133 0.9641
Zn1 0.2500 0.2500 0.5425
Zn2 0.2500 0.5784 0.5557
Zn3 0.2500 0.7500 0.0835
Zn4 0.2500 0.9216 0.5557
Zn5 0.7500 0.0784 0.4443
Zn6 0.7500 0.2500 0.9165
Zn7 0.7500 0.4216 0.4443
Zn8 0.7500 0.7500 0.4575
```

=====

No. 3
VASP calculation (PBE) on NbZn after structural relaxation.

Values from the calculation:
volume: 23.6 A^3/atom
formation enthalpy at 0 K: 3.36 eV/f.u.

The structure in CIF format:
```
data_NbZn
_cell_length_a 4.0567
_cell_length_b 4.0567
_cell_length_c 4.0567
_cell_angle_alpha 60.00
_cell_angle_beta 60.00
_cell_angle_gamma 60.00
_symmetry_space_group_name_H-M 'P 1'
_symmetry_Int_Tables_number 1
loop_
_symmetry_equiv_pos_as_xyz
'x,y,z'
loop_
_atom_site_label
_atom_site_fract_x
_atom_site_fract_y
_atom_site_fract_z
Nb1 0.0000 0.0000 0.0000
Zn1 0.7500 0.7500 0.7500
```

=====

No. 4
VASP calculation (PBE) on NbZn after structural relaxation.

Values from the calculation:
volume: 16.5 A^3/atom
formation enthalpy at 0 K: 0.08 eV/f.u.

The structure in CIF format:
```
data_NbZn
_cell_length_a 2.7429
_cell_length_b 4.7394
_cell_length_c 10.1812
_cell_angle_alpha 90.00
_cell_angle_beta 90.00
_cell_angle_gamma 90.00
_symmetry_space_group_name_H-M 'P 1'
_symmetry_Int_Tables_number 1
loop_
_symmetry_equiv_pos_as_xyz
'x,y,z'
loop_
_atom_site_label
_atom_site_fract_x
_atom_site_fract_y
_atom_site_fract_z
Nb1 0.2500 0.2500 0.0654
Nb2 0.2500 0.7500 0.2168
Nb3 0.7500 0.2500 0.7832
Nb4 0.7500 0.7500 0.9346
Zn1 0.2500 0.2500 0.5380
Zn2 0.2500 0.7500 0.6890
Zn3 0.7500 0.2500 0.3110
Zn4 0.7500 0.7500 0.4620
```

=====

No. 5
VASP calculation (PBE) on NbZn after structural relaxation.

Values from the calculation:
volume: 16.9 A^3/atom
formation enthalpy at 0 K: 0.22 eV/f.u.

The structure in CIF format:
```
data_NbZn
_cell_length_a 5.7410
_cell_length_b 5.7410
_cell_length_c 4.7233
_cell_angle_alpha 90.00
_cell_angle_beta 90.00
_cell_angle_gamma 120.00
_symmetry_space_group_name_H-M 'P 1'
_symmetry_Int_Tables_number 1
loop_
_symmetry_equiv_pos_as_xyz
'x,y,z'
loop_
_atom_site_label
_atom_site_fract_x
_atom_site_fract_y
_atom_site_fract_z
Nb1 0.0000 0.0000 0.0000
Nb2 0.3313 0.1657 0.5000
Nb3 0.8343 0.1657 0.5000
Nb4 0.8343 0.6687 0.5000
Zn1 0.3333 0.6667 0.5000
Zn2 0.5077 0.0155 0.0000
Zn3 0.5077 0.4923 0.0000
Zn4 0.9845 0.4923 0.0000
```

=====

No. 6
VASP calculation (PBE) on NbZn2 after structural relaxation.

Values from the calculation:
volume: 15.1 A^3/atom
formation enthalpy at 0 K: -0.21 eV/f.u.

The structure in CIF format:
```
data_NbZn2
_cell_length_a 5.6514
_cell_length_b 5.6514
_cell_length_c 4.1489
_cell_angle_alpha 90.00
_cell_angle_beta 90.00
_cell_angle_gamma 43.19
_symmetry_space_group_name_H-M 'P 1'
_symmetry_Int_Tables_number 1
loop_
_symmetry_equiv_pos_as_xyz
'x,y,z'
loop_
_atom_site_label
_atom_site_fract_x
_atom_site_fract_y
_atom_site_fract_z
Nb1 0.2485 0.7515 0.7500
Nb2 0.7515 0.2485 0.2500
Zn1 0.0762 0.5689 0.2500
Zn2 0.4311 0.9238 0.2500
Zn3 0.5689 0.0762 0.7500
Zn4 0.9238 0.4311 0.7500
```